# 1
The following is a PBE-GGA calculation of a geometry-optimized NaLaNiHg2 structure, from Alexandria.

Summary:
Energy of formation ... -0.1976 eV/atom

a = 5.2164 Å, b = 5.2164 Å, c = 4.9659 Å
α = 90.00°, β = 90.00°, γ = 90.00°
Fractional positions:
1 Hg 0.5000 0.0000 0.0000
2 Hg 0.0000 0.5000 0.0000
3 Ni 0.0000 0.0000 0.0000
4 Na 0.5000 0.5000 0.5000
5 La 0.0000 0.0000 0.5000


# 2
The following is a PBE-GGA calculation of a geometry-optimized CsLaAgS3 structure, from Alexandria.

Summary:
Uncorrected formation energy ... -1.199 eV per atom

a = 4.3685 Å, b = 7.8238 Å, c = 11.3245 Å
α = 90.00°, β = 90.00°, γ = 106.21°
Last column: magnetic moment on the atom in μB.
Fractional positions:
1 S 0.0419 0.0839 0.7500  0.09
2 S 0.3799 0.7598 0.5523  0.08
3 S 0.3799 0.7598 0.9477  0.08
4 S 0.6201 0.2402 0.0523  0.08
5 S 0.9581 0.9161 0.2500  0.09
6 S 0.6201 0.2402 0.4477  0.08
7 Cs 0.7376 0.4752 0.7500  0.00
8 Cs 0.2624 0.5248 0.2500  0.00
9 La 0.0000 0.0000 0.5000  0.01
10 La 0.0000 0.0000 0.0000  0.01
11 Ag 0.5472 0.0944 0.2500  0.10
12 Ag 0.4528 0.9056 0.7500  0.10


# 3
The following is a PBE-GGA calculation of a geometry-optimized Te2RhSe structure, from Alexandria.

Summary:
Uncorrected formation energy ... 0.051 eV per atom

a = 6.4859 Å, b = 6.4859 Å, c = 7.4341 Å
α = 64.14°, β = 64.14°, γ = 90.00°
Fractional positions:
1 Te 0.8750 0.9281 0.7500
2 Te 0.0719 0.6250 0.2500
3 Te 0.3750 0.3219 0.7500
4 Te 0.6781 0.1250 0.2500
5 Rh 0.0000 0.0000 0.0000
6 Rh 0.7500 0.2500 0.5000
7 Se 0.2500 0.7500 0.5000
8 Se 0.5000 0.5000 0.0000


# 4
The following is a PBE-GGA calculation of a geometry-optimized LiMn2As structure, from Alexandria.

Summary:
Energy of formation ... 0.4281 eV/atom

a = 8.2982 Å, b = 8.2982 Å, c = 8.2982 Å
α = 19.07°, β = 19.07°, γ = 19.07°
Last column: magnetic moment on the atom in μB.
Fractional positions:
1 Mn 0.9916 0.9916 0.9916  0.78
2 Mn 0.5084 0.5084 0.5084  0.78
3 Li 0.7500 0.7500 0.7500  -0.03
4 As 0.2500 0.2500 0.2500  -0.07


# 5
The following is a PBE-GGA calculation of a geometry-optimized SrSnSeBr2 structure, from Alexandria.

Summary:
Uncorrected formation energy ... -0.911 eV per atom
Polymorph energy (0 for the lowest one) ... 0.00 eV/f.u.

a = 5.6021 Å, b = 5.6021 Å, c = 5.7120 Å
α = 90.00°, β = 90.00°, γ = 90.00°
Fractional positions:
1 Sr 0.5000 0.5000 0.5000
2 Br 0.5000 0.0000 0.0000
3 Br 0.0000 0.5000 0.0000
4 Sn 0.0000 0.0000 0.0000
5 Se 0.0000 0.0000 0.5000


# 6
The following is a PBE-GGA calculation of a geometry-optimized NdEr2Zr structure, from Alexandria.

Summary:
Energy of formation ... 0.3164 eV/atom
Polymorph energy (0 for the lowest one) ... 0.96 eV/f.u.

a = 3.3641 Å, b = 3.3641 Å, c = 12.2150 Å
α = 82.09°, β = 82.09°, γ = 60.00°
Fractional positions:
1 Er 0.0854 0.0854 0.7437
2 Er 0.9146 0.9146 0.2563
3 Nd 0.5000 0.5000 0.5000
4 Zr 0.0000 0.0000 0.0000


# 7
The following is a PBE-GGA calculation of a geometry-optimized La2HoEr3Tm6 structure, from Alexandria.

Summary:
Energy of formation ... 0.0287 eV/atom

a = 6.1363 Å, b = 6.1363 Å, c = 11.6912 Å
α = 95.01°, β = 95.01°, γ = 119.97°
Fractional positions:
1 Tm 0.4175 0.0854 0.2547
2 Tm 0.5825 0.9146 0.7453
3 Tm 0.7534 0.7534 0.2549
4 Tm 0.9146 0.5825 0.7453
5 Tm 0.2466 0.2466 0.7451
6 Tm 0.0854 0.4175 0.2547
7 La 0.6665 0.3335 0.0000
8 La 0.3335 0.6665 0.0000
9 Ho 0.0000 0.0000 0.0000
10 Er 0.8335 0.1665 0.5000
11 Er 0.5000 0.5000 0.5000
12 Er 0.1665 0.8335 0.5000


# 8
The following is a PBE-GGA calculation of a geometry-optimized FeAsRh2 structure, from Alexandria.

Summary:
Energy of formation ... -0.0859 eV/atom

a = 4.4346 Å, b = 4.4346 Å, c = 2.9316 Å
α = 90.01°, β = 90.01°, γ = 100.27°
Last column: magnetic moment on the atom in μB.
Fractional positions:
1 Fe 0.0000 0.5000 0.5000  3.07
2 Rh 0.0000 0.0000 0.0000  0.41
3 Rh 0.5000 0.5000 0.0000  0.41
4 As 0.5000 0.0000 0.5000  0.00


# 9
The following is a PBE-GGA calculation of a geometry-optimized Na5Zr3O8 structure, from Alexandria.

Summary:
Uncorrected formation energy ... -2.456 eV per atom

a = 6.5342 Å, b = 6.5342 Å, c = 6.7016 Å
α = 60.82°, β = 60.82°, γ = 60.00°
Fractional positions:
1 O 0.7621 0.7621 0.7138
2 O 0.7501 0.7501 0.2892
3 O 0.2499 0.2499 0.7108
4 O 0.7501 0.2105 0.2892
5 O 0.7895 0.2499 0.7108
6 O 0.2379 0.2379 0.2862
7 O 0.2499 0.7895 0.7108
8 O 0.2105 0.7501 0.2892
9 Zr 0.0000 0.0000 0.5000
10 Zr 0.5000 0.0000 0.5000
11 Zr 0.0000 0.5000 0.5000
12 Na 0.5000 0.0000 0.0000
13 Na 0.5000 0.5000 0.5000
14 Na 0.0000 0.5000 0.0000
15 Na 0.0000 0.0000 0.0000
16 Na 0.5000 0.5000 0.0000


# 10
The following is a PBE-GGA calculation of a geometry-optimized Yb6Er structure, from Alexandria.

Summary:
Energy of formation ... 1.1840 eV/atom

a = 7.5289 Å, b = 7.5289 Å, c = 7.5289 Å
α = 109.47°, β = 109.47°, γ = 109.47°
Fractional positions:
1 Yb 0.2500 0.7500 0.5000
2 Yb 0.5000 0.2500 0.7500
3 Yb 0.2500 0.5000 0.7500
4 Yb 0.7500 0.2500 0.5000
5 Yb 0.7500 0.5000 0.2500
6 Yb 0.5000 0.7500 0.2500
7 Er 0.0000 0.0000 0.0000


# 11
The following is a PBE-GGA calculation of a geometry-optimized Y5TlFe2 structure, from Alexandria.

Summary:
Energy of formation ... -0.1112 eV/atom

a = 7.4118 Å, b = 7.4118 Å, c = 9.1141 Å
α = 113.99°, β = 113.99°, γ = 90.00°
Last column: magnetic moment on the atom in μB.
Fractional positions:
1 Y 0.9567 0.4567 0.2669  -0.16
2 Y 0.5000 0.5000 0.0000  -0.19
3 Y 0.3102 0.8102 0.2669  -0.16
4 Y 0.6898 0.1898 0.7331  -0.16
5 Y 0.0433 0.5433 0.7331  -0.16
6 Y 0.4567 0.3102 0.2669  -0.16
7 Y 0.8102 0.9567 0.2669  -0.16
8 Y 0.5433 0.6898 0.7331  -0.16
9 Y 0.0000 0.0000 0.0000  -0.19
10 Y 0.1898 0.0433 0.7331  -0.16
11 Tl 0.7500 0.7500 0.5000  0.00
12 Tl 0.2500 0.2500 0.5000  0.00
13 Fe 0.8948 0.6052 0.0000  1.26
14 Fe 0.3948 0.8948 0.0000  1.26
15 Fe 0.1052 0.3948 0.0000  1.26
16 Fe 0.6052 0.1052 0.0000  1.26


# 12
The following is a PBE-GGA calculation of a geometry-optimized PrTm15In4 structure, from Alexandria.

Summary:
Energy of formation ... -0.1910 eV/atom

a = 4.8039 Å, b = 4.8039 Å, c = 24.4345 Å
α = 90.00°, β = 90.00°, γ = 90.00°
Fractional positions:
1 Tm 0.0000 0.5000 0.6958
2 Tm 0.5000 0.0000 0.1070
3 Tm 0.0000 0.5000 0.5000
4 Tm 0.0000 0.5000 0.8930
5 Tm 0.5000 0.5000 0.4022
6 Tm 0.5000 0.0000 0.3042
7 Tm 0.0000 0.5000 0.3042
8 Tm 0.5000 0.0000 0.8930
9 Tm 0.0000 0.5000 0.1070
10 Tm 0.5000 0.5000 0.2069
11 Tm 0.5000 0.5000 0.0000
12 Tm 0.5000 0.0000 0.6958
13 Tm 0.5000 0.0000 0.5000
14 Tm 0.5000 0.5000 0.7931
15 Tm 0.5000 0.5000 0.5978
16 In 0.0000 0.0000 0.7929
17 In 0.0000 0.0000 0.2071
18 In 0.0000 0.0000 0.5976
19 In 0.0000 0.0000 0.4024
20 Pr 0.0000 0.0000 0.0000


# 13
The following is a PBE-GGA calculation of a geometry-optimized Pr3RhAu structure, from Alexandria.

Summary:
Energy of formation ... -0.6041 eV/atom

a = 4.2016 Å, b = 8.6868 Å, c = 15.7929 Å
α = 90.00°, β = 90.00°, γ = 90.00°
Fractional positions:
1 Pr 0.7500 0.1408 0.0561
2 Pr 0.7500 0.3237 0.2865
3 Pr 0.2500 0.1763 0.7865
4 Pr 0.2500 0.5144 0.1002
5 Pr 0.2500 0.6763 0.7135
6 Pr 0.2500 0.8592 0.9439
7 Pr 0.2500 0.0144 0.3998
8 Pr 0.2500 0.3592 0.5561
9 Pr 0.7500 0.9856 0.6002
10 Pr 0.7500 0.6408 0.4439
11 Pr 0.7500 0.8237 0.2135
12 Pr 0.7500 0.4856 0.8998
13 Au 0.2500 0.6063 0.2962
14 Au 0.7500 0.8937 0.7962
15 Au 0.7500 0.3937 0.7038
16 Au 0.2500 0.1063 0.2038
17 Rh 0.2500 0.2784 0.9568
18 Rh 0.2500 0.7784 0.5432
19 Rh 0.7500 0.2216 0.4568
20 Rh 0.7500 0.7216 0.0432


# 14
The following is a PBE-GGA calculation of a geometry-optimized YTi2Ru2 structure, from Alexandria.

Summary:
Energy of formation ... -0.2753 eV/atom
Polymorph energy (0 for the lowest one) ... 0.80 eV/f.u.

a = 7.6509 Å, b = 7.6509 Å, c = 2.9768 Å
α = 90.00°, β = 90.00°, γ = 90.00°
Fractional positions:
1 Ti 0.8646 0.6354 0.0000
2 Ti 0.3646 0.8646 0.0000
3 Ti 0.6354 0.1354 0.0000
4 Ti 0.1354 0.3646 0.0000
5 Y 0.0000 0.0000 0.0000
6 Y 0.5000 0.5000 0.0000
7 Ru 0.8490 0.3490 0.5000
8 Ru 0.6510 0.8490 0.5000
9 Ru 0.3490 0.1510 0.5000
10 Ru 0.1510 0.6510 0.5000


# 15
The following is a PBE-GGA calculation of a geometry-optimized Sr2SiSe structure, from Alexandria.

Summary:
Uncorrected formation energy ... -0.828 eV per atom
Polymorph energy (0 for the lowest one) ... 0.41 eV/f.u.

a = 6.2075 Å, b = 6.2075 Å, c = 4.8061 Å
α = 81.33°, β = 81.33°, γ = 40.29°
Fractional positions:
1 Sr 0.9946 0.9946 0.8644
2 Sr 0.2562 0.2562 0.3903
3 Se 0.5323 0.5323 0.3204
4 Si 0.7170 0.7170 0.9249


# 16
The following is a PBE-GGA calculation of a geometry-optimized NiSb2Pd structure, from Alexandria.

Summary:
Uncorrected formation energy ... -0.133 eV per atom

a = 3.8048 Å, b = 3.8048 Å, c = 6.6638 Å
α = 73.41°, β = 73.41°, γ = 60.00°
Fractional positions:
1 Ni 0.0000 0.0000 0.0000
2 Sb 0.7424 0.7424 0.7729
3 Sb 0.2576 0.2576 0.2271
4 Pd 0.5000 0.5000 0.5000


no.,total DFT energy (no corrections) (eV/atom),V (Å³ per cell)
1,-2.72,135
2,-4.70,372
3,-4.23,246
4,-5.80,53
5,-3.41,179
6,-5.29,118
7,-4.55,376
8,-7.04,57
9,-6.95,205
10,-0.78,329
11,-6.56,410
12,-4.33,564
13,-5.60,576
14,-8.44,174
15,-3.90,118
16,-4.94,79